Version w
DFT (PBE) results for a geometry-optimized Mo4Os structure.

Cell: 4.687 4.687 4.687 Å, 90.00 90.00 90.00°
Positions (direct):
1 Mo 0.000 0.000 0.000
2 Mo 0.500 0.000 0.500
3 Mo 0.000 0.500 0.500
4 Mo 0.500 0.500 0.000
5 Os 0.500 0.500 0.500

Results
V	20.59	A^3/atom
size of the total moment	0.1829	μB/atom

Version x
DFT (PBE) results for a geometry-optimized Mo4Os structure.

Cell: 5.213 5.213 5.213 Å, 95.24 95.24 144.82°
Positions (direct):
1 Mo 0.392 0.196 0.587
2 Mo 0.608 0.804 0.413
3 Mo 0.804 0.392 0.196
4 Mo 0.196 0.608 0.804
5 Os 0.000 0.000 0.000

Results
V	15.57	A^3/atom
size of the total moment	0.0000	μB/atom

Version y
DFT (PBE) results for a geometry-optimized Mo4Os structure.

Cell: 5.019 5.019 5.019 Å, 109.47 109.47 109.47°
Positions (direct):
1 Mo 0.500 0.000 0.000
2 Mo 0.500 0.500 0.500
3 Mo 0.000 0.500 0.000
4 Mo 0.000 0.000 0.500
5 Os 0.000 0.000 0.000

Results
V	19.46	A^3/atom
size of the total moment	0.0001	μB/atom

Which structure is most stable, and how do the rest compare? From most to least stable: version x, version y, version w.

Version w
DFT (PBE) results for a geometry-optimized Mo5Os structure.

Cell: 7.709 7.709 4.645 Å, 90.00 90.00 159.93°
Positions (direct):
1 Mo 0.994 0.006 0.000
2 Mo 0.662 0.338 0.000
3 Mo 0.334 0.666 0.000
4 Mo 0.554 0.446 0.500
5 Mo 0.231 0.769 0.500
6 Os 0.891 0.109 0.500

Results
V	15.78	A^3/atom
size of the total moment	0.0000	μB/atom

Version x
DFT (PBE) results for a geometry-optimized Mo5Os structure.

Cell: 5.099 5.099 4.518 Å, 90.00 90.00 120.00°
Positions (direct):
1 Mo 0.000 0.500 0.500
2 Mo 0.333 0.667 0.000
3 Mo 0.500 0.000 0.500
4 Mo 0.500 0.500 0.500
5 Mo 0.667 0.333 0.000
6 Os 0.000 0.000 0.000

Results
V	16.96	A^3/atom
size of the total moment	0.0000	μB/atom

Which structure is most stable, and how do the rest compare? From most to least stable: version w, version x.

Version w
DFT (PBE) results for a geometry-optimized Mo5Os structure.

Cell: 5.149 5.149 5.149 Å, 60.00 60.00 60.00°
Positions (direct):
1 Mo 0.624 0.624 0.127
2 Mo 0.250 0.250 0.250
3 Mo 0.624 0.624 0.624
4 Mo 0.127 0.624 0.624
5 Mo 0.624 0.127 0.624
6 Os 0.000 0.000 0.000

Results
V	16.09	A^3/atom
size of the total moment	0.0000	μB/atom

Version x
DFT (PBE) results for a geometry-optimized Mo5Os structure.

Cell: 5.197 5.197 6.328 Å, 72.33 72.33 35.53°
Positions (direct):
1 Mo 0.978 0.978 0.057
2 Mo 0.641 0.641 0.225
3 Mo 0.306 0.306 0.389
4 Mo 0.970 0.970 0.553
5 Mo 0.633 0.633 0.721
6 Os 0.306 0.306 0.889

Results
V	15.69	A^3/atom
size of the total moment	0.0000	μB/atom

Version y
DFT (PBE) results for a geometry-optimized Mo5Os structure.

Cell: 2.708 2.708 13.023 Å, 90.00 90.00 90.00°
Positions (direct):
1 Mo 0.000 0.000 0.850
2 Mo 0.000 0.000 0.150
3 Mo 0.500 0.500 0.676
4 Mo 0.500 0.500 0.324
5 Mo 0.000 0.000 0.500
6 Os 0.500 0.500 0.000

Results
V	15.91	A^3/atom
size of the total moment	0.0000	μB/atom

Which structure is most stable, and how do the rest compare? From most to least stable: version x, version y, version w.